Compound: Eu2MgPd
Source: Alexandria via LeMat-Bulk
Functional: GGA-PBE
Structure: optimized geometry

E_form   -0.30 eV/atom
E above lowest polymorph   73 meV/atom

Unit cell a=7.5839 b=7.5839 c=7.5839 alpha=90.00 beta=90.00 gamma=90.00
With the nearest neighbours (Å) after each atom.
Space group Fm-3m (No. 225)
Symmetry-distinct sites (fractional):
Eu 0.2500 0.2500 0.2500 x8  4 Pd 3.28, 4 Mg 3.28
Mg 0.0000 0.0000 0.0000 x4  8 Eu 3.28
Pd 0.0000 0.0000 0.5000 x4  8 Eu 3.28

Compound: K3Ba
Source: Alexandria via LeMat-Bulk
Functional: GGA-PBE
Structure: optimized geometry

E_form   0.09 eV/atom

Unit cell a=15.5376 b=4.5607 c=8.0944 alpha=90.00 beta=100.10 gamma=90.00
With the nearest neighbours (Å) after each atom.
Space group C2/m (No. 12)
Symmetry-distinct sites (fractional):
K 0.0000 0.0000 0.0000 x2  8 K 4.56-4.72, 4 Ba 4.65
K 0.2476 0.5000 0.2504 x4  9 K 4.56-4.72, 3 Ba 4.65-4.68
Ba 0.0000 0.5000 0.5000 x2  2 Ba 4.56, 10 K 4.65-4.68

Compound: Ce2UIn
Source: Alexandria via LeMat-Bulk
Functional: GGA-PBE
Structure: optimized geometry

E_form   0.16 eV/atom
E above lowest polymorph   190 meV/atom

Unit cell a=3.7207 b=3.7207 c=25.3602 alpha=90.00 beta=90.00 gamma=120.00
With the nearest neighbours (Å) after each atom.
Space group R-3m (No. 166, hexagonal axes)
Symmetry-distinct sites (fractional):
Ce 0.0000 0.0000 0.2291 x6  3 U 2.67
U 0.0000 0.0000 0.5000 x3  6 Ce 2.67
In 0.0000 0.0000 0.0000 x3  6 Ce 3.41, 6 In 3.72

Compound: LiAlAg
Source: Alexandria via LeMat-Bulk
Functional: GGA-PBE
Structure: optimized geometry

E_form   -0.22 eV/atom
E above lowest polymorph   0 meV/atom

Unit cell a=4.4367 b=4.4497 c=5.5350 alpha=89.60 beta=89.74 gamma=60.22
With the nearest neighbours (Å) after each atom.
Space group P1 (No. 1)
Symmetry-distinct sites (fractional):
Li 0.0000 0.0000 0.0000 x1  5 Ag 2.69-2.82, 3 Li 2.70-2.71
Li 0.3330 0.3327 0.1531 x1  3 Li 2.70-2.71, 5 Al 2.76-2.78
Al 0.3341 0.3321 0.6542 x1  6 Ag 2.72-2.80, 2 Li 2.76-2.77
Al 0.6668 0.6649 0.3422 x1  5 Ag 2.69-2.83, 3 Li 2.77-2.78
Ag 0.0008 0.9980 0.4907 x1  6 Al 2.69-2.73, 2 Li 2.72-2.82
Ag 0.6677 0.6666 0.8531 x1  3 Li 2.69-2.70, 5 Al 2.71-2.83

Compound: TcPIr
Source: Alexandria via LeMat-Bulk
Functional: GGA-PBE
Structure: optimized geometry

E_form   -0.14 eV/atom
E above lowest polymorph   219 meV/atom

Unit cell a=7.7545 b=3.0690 c=4.8889 alpha=90.00 beta=128.37 gamma=90.00
With the nearest neighbours (Å) after each atom.
Space group Cm (No. 8)
Symmetry-distinct sites (fractional):
Tc 0.0000 0.0000 0.0000 x2  3 P 2.30-2.37
P 0.2349 0.0000 0.6177 x2  3 Tc 2.30-2.37, 3 Ir 2.31-2.36
Ir 0.4640 0.0000 0.4546 x2  3 P 2.31-2.36

Compound: SrMg2Ru
Source: Alexandria via LeMat-Bulk
Functional: GGA-PBE
Structure: optimized geometry

E_form   0.38 eV/atom

Unit cell a=4.4230 b=4.4230 c=4.6949 alpha=90.00 beta=90.00 gamma=90.00
With the nearest neighbours (Å) after each atom.
Space group P4/mmm (No. 123)
Symmetry-distinct sites (fractional):
Sr 0.0000 0.0000 0.0000 x1  4 Ru 3.13, 8 Mg 3.23
Mg 0.0000 0.5000 0.5000 x2  4 Mg 3.13, 4 Ru 3.23, 4 Sr 3.23
Ru 0.5000 0.5000 0.0000 x1  4 Sr 3.13, 8 Mg 3.23

Compound: HoPuSi2O8
Source: Alexandria via LeMat-Bulk
Functional: GGA-PBE
Structure: optimized geometry

Formation energy (no corrections)   -2.919 eV/atom

Unit cell a=6.9277 b=6.9277 c=6.1869 alpha=90.00 beta=90.00 gamma=90.00
With the nearest neighbours (Å) after each atom.
Space group I-4m2 (No. 119)
Symmetry-distinct sites (fractional):
Ho 0.0000 0.0000 0.0000 x2  8 O 2.28-2.40
Pu 0.0000 0.5000 0.2500 x2  8 O 2.25-2.36
Si 0.0000 0.0000 0.5000 x2  4 O 1.65
Si 0.0000 0.5000 0.7500 x2  4 O 1.64
O 0.0000 0.1831 0.3298 x8  1 Si 1.65
O 0.0000 0.3218 0.9251 x8  1 Si 1.64

Compound: Th4Sb2TeSe
Source: Alexandria via LeMat-Bulk
Functional: GGA-PBE
Structure: optimized geometry

Formation energy (no corrections)   -1.083 eV/atom

Unit cell a=7.5372 b=4.4758 c=7.7353 alpha=90.00 beta=110.05 gamma=90.00
With the nearest neighbours (Å) after each atom.
Space group P2/m (No. 10)
Symmetry-distinct sites (fractional):
Th 0.2346 0.0000 0.2337 x2  2 Se 3.03, 3 Sb 3.12-3.23, 1 Te 3.14
Th 0.2422 0.5000 0.7598 x2  1 Se 3.02, 3 Sb 3.12-3.24, 2 Te 3.14
Sb 0.5000 0.0000 0.0000 x1  6 Th 3.12
Sb 0.5000 0.5000 0.5000 x1  6 Th 3.23-3.24
Te 0.0000 0.0000 0.5000 x1  6 Th 3.14
Se 0.0000 0.5000 0.0000 x1  6 Th 3.02-3.03

Compound: BiAu2Cl
Source: Alexandria via LeMat-Bulk
Functional: GGA-PBE
Structure: optimized geometry

E above lowest polymorph   251 meV/atom
Formation energy (no corrections)   0.216 eV/atom

Unit cell a=7.1192 b=7.1192 c=7.1192 alpha=90.00 beta=90.00 gamma=90.00
With the nearest neighbours (Å) after each atom.
Space group Fm-3m (No. 225)
Symmetry-distinct sites (fractional):
Bi 0.0000 0.0000 0.0000 x4  8 Au 3.08
Au 0.2500 0.2500 0.2500 x8  4 Cl 3.08, 4 Bi 3.08
Cl 0.0000 0.0000 0.5000 x4  8 Au 3.08

Compound: TbNd4Ni4
Source: Alexandria via LeMat-Bulk
Functional: GGA-PBE
Structure: optimized geometry

E_form   -0.19 eV/atom

Unit cell a=8.5554 b=8.5554 c=5.9514 alpha=90.00 beta=90.00 gamma=90.00
With the nearest neighbours (Å) after each atom.
Space group P4_2/n (No. 86, origin choice 2)
Symmetry-distinct sites (fractional):
Tb 0.2500 0.2500 0.2500 x2  4 Ni 2.67
Nd 0.0563 0.6660 0.1486 x8  4 Ni 2.74-3.04
Ni 0.0208 0.6199 0.6265 x8  1 Ni 2.57, 1 Tb 2.67, 2 Nd 2.74-2.87

Compound: Rb3Np3GaSe8
Source: Alexandria via LeMat-Bulk
Functional: GGA-PBE
Structure: optimized geometry

Formation energy (no corrections)   -1.085 eV/atom

Unit cell a=8.4124 b=8.4124 c=24.1721 alpha=90.00 beta=90.00 gamma=120.00
With the nearest neighbours (Å) after each atom.
Space group R-3m (No. 166, hexagonal axes)
Symmetry-distinct sites (fractional):
Rb 0.0000 0.5000 0.0000 x9  6 Se 3.45-3.51
Np 0.0000 0.5000 0.5000 x9  6 Se 2.85-2.89
Ga 0.0000 0.0000 0.5000 x3  6 Se 2.82
Se 0.0000 0.0000 0.2317 x6  3 Np 2.89
Se 0.0030 0.5015 0.2278 x18  1 Ga 2.82, 2 Np 2.85

Compound: NbV2Pt9
Source: Alexandria via LeMat-Bulk
Functional: GGA-PBE
Structure: optimized geometry

E_form   -0.50 eV/atom

Unit cell a=3.9568 b=3.9568 c=11.8365 alpha=90.00 beta=90.00 gamma=90.00
With the nearest neighbours (Å) after each atom.
Space group P4/mmm (No. 123)
Symmetry-distinct sites (fractional):
Nb 0.0000 0.0000 0.0000 x1  12 Pt 2.80
V 0.0000 0.0000 0.3396 x2  12 Pt 2.74-2.84
Pt 0.0000 0.5000 0.1678 x4  8 Pt 2.79-2.80, 2 Nb 2.80, 2 V 2.84
Pt 0.0000 0.5000 0.5000 x2  4 V 2.74, 8 Pt 2.79-2.80
Pt 0.5000 0.5000 0.0000 x1  4 Nb 2.80, 8 Pt 2.80
Pt 0.5000 0.5000 0.3343 x2  8 Pt 2.79, 4 V 2.80

Compound: BaLi2SmP2
Source: Alexandria via LeMat-Bulk
Functional: GGA-PBE
Structure: optimized geometry

E_form   -0.95 eV/atom

Unit cell a=4.2634 b=4.2634 c=8.4660 alpha=90.00 beta=90.00 gamma=120.00
With the nearest neighbours (Å) after each atom.
Space group P-3m1 (No. 164)
Symmetry-distinct sites (fractional):
Ba 0.0000 0.0000 0.0000 x1  6 Li 3.37, 6 P 3.49
Li 0.3333 0.6667 0.7284 x2  3 P 2.47
Sm 0.0000 0.0000 0.5000 x1  6 P 3.02, 6 Li 3.13
P 0.3333 0.6667 0.2930 x2  3 Li 2.47

Compound: Ba3CoW
Source: Alexandria via LeMat-Bulk
Functional: GGA-PBE
Structure: optimized geometry

E_form   1.25 eV/atom
E above lowest polymorph   0 meV/atom

Unit cell a=5.7769 b=5.7769 c=5.7769 alpha=90.00 beta=90.00 gamma=90.00
With the nearest neighbours (Å) after each atom.
Space group Pm-3m (No. 221)
Symmetry-distinct sites (fractional):
Ba 0.0000 0.0000 0.5000 x3  2 Co 2.89
Co 0.0000 0.0000 0.0000 x1  6 Ba 2.89
W 0.5000 0.5000 0.5000 x1  12 Ba 4.08

Compound: Ac3In4Ga4
Source: Alexandria via LeMat-Bulk
Functional: GGA-PBE
Structure: optimized geometry

E_form   -0.41 eV/atom

Unit cell a=4.7901 b=7.8183 c=16.0419 alpha=90.00 beta=90.00 gamma=90.00
With the nearest neighbours (Å) after each atom.
Space group Immm (No. 71)
Symmetry-distinct sites (fractional):
Ac 0.0000 0.0000 0.0000 x2  6 Ga 3.48-3.50, 8 In 3.83
Ac 0.0000 0.5000 0.1262 x4  6 Ga 3.42-3.47, 6 In 3.44-3.73
In 0.0000 0.3078 0.3388 x8  4 Ga 2.79-3.10, 1 In 3.00
Ga 0.0000 0.0000 0.2172 x4  6 In 2.97-3.10
Ga 0.0000 0.1738 0.5000 x4  1 Ga 2.72, 2 In 2.79

Compound: CaTmZn2
Source: Alexandria via LeMat-Bulk
Functional: GGA-PBE
Structure: optimized geometry

E_form   -0.28 eV/atom

Unit cell a=7.1707 b=7.1707 c=7.1707 alpha=90.00 beta=90.00 gamma=90.00
With the nearest neighbours (Å) after each atom.
Space group Fm-3m (No. 225)
Symmetry-distinct sites (fractional):
Ca 0.0000 0.0000 0.0000 x4  8 Zn 3.11
Tm 0.0000 0.0000 0.5000 x4  8 Zn 3.11
Zn 0.2500 0.2500 0.2500 x8  4 Ca 3.11, 4 Tm 3.11

Compound: Nd4Th3TiN8
Source: Alexandria via LeMat-Bulk
Functional: GGA-PBE
Structure: optimized geometry

Formation energy (no corrections)   -1.412 eV/atom

Unit cell a=7.1573 b=7.1573 c=17.6297 alpha=90.00 beta=90.00 gamma=120.00
With the nearest neighbours (Å) after each atom.
Space group R-3m (No. 166, hexagonal axes)
Symmetry-distinct sites (fractional):
Nd 0.0000 0.0000 0.0000 x3  6 N 2.73
Nd 0.0000 0.5000 0.0000 x9  6 N 2.58-2.59
Th 0.0000 0.5000 0.5000 x9  6 N 2.49-2.50
Ti 0.0000 0.0000 0.5000 x3  6 N 2.34
N 0.0000 0.0000 0.2459 x6  3 Th 2.49, 3 Nd 2.58
N 0.0195 0.5097 0.2408 x18  1 Ti 2.34, 2 Th 2.50, 2 Nd 2.59

Compound: LaAlCr2
Source: Alexandria via LeMat-Bulk
Functional: GGA-PBE
Structure: optimized geometry

E_form   0.44 eV/atom

Unit cell a=4.5065 b=4.5065 c=3.7699 alpha=90.00 beta=90.00 gamma=90.00
With the nearest neighbours (Å) after each atom.
Space group P4/mmm (No. 123)
Symmetry-distinct sites (fractional):
La 0.0000 0.0000 0.0000 x1  8 Cr 2.94, 4 Al 3.19
Al 0.5000 0.5000 0.0000 x1  8 Cr 2.94, 4 La 3.19
Cr 0.0000 0.5000 0.5000 x2  4 La 2.94, 4 Al 2.94, 4 Cr 3.19

Compound: Tb3Er4Tm2
Source: Alexandria via LeMat-Bulk
Functional: GGA-PBE
Structure: optimized geometry

E_form   0.11 eV/atom
E above lowest polymorph   85 meV/atom

Unit cell a=16.1463 b=11.4237 c=6.0261 alpha=90.00 beta=96.28 gamma=90.00
With the nearest neighbours (Å) after each atom.
Space group C2/c (No. 15)
Symmetry-distinct sites (fractional):
Tb 0.0000 0.0974 0.2500 x4  4 Tm 3.33-3.44, 4 Er 3.44-3.46
Tb 0.1669 0.4024 0.0823 x8  6 Er 3.34-3.46, 2 Tm 3.44-3.46
Er 0.0465 0.3597 0.5143 x8  1 Tm 3.26, 4 Tb 3.34-3.46, 3 Er 3.35-3.54
Er 0.2128 0.1403 0.3474 x8  1 Er 3.26, 4 Tb 3.34-3.46, 3 Tm 3.35-3.53
Tm 0.1199 0.1398 0.8186 x8  4 Er 3.26-3.53, 4 Tb 3.33-3.46

Compound: BaSc2Se
Source: Alexandria via LeMat-Bulk
Functional: GGA-PBE
Structure: optimized geometry

Formation energy (no corrections)   -0.231 eV/atom

Unit cell a=5.1947 b=5.1947 c=19.8183 alpha=90.00 beta=90.00 gamma=90.00
With the nearest neighbours (Å) after each atom.
Space group I4_1/amd (No. 141, origin choice 2)
Symmetry-distinct sites (fractional):
Ba 0.0000 0.2500 0.3750 x4  4 Se 3.67, 8 Sc 3.82
Sc 0.0000 0.0000 0.0000 x8  2 Sc 2.60, 2 Se 2.80
Se 0.0000 0.2500 0.8750 x4  4 Sc 2.80

Compound: SrSn2Bi2
Source: Alexandria via LeMat-Bulk
Functional: GGA-PBE
Structure: optimized geometry

E_form   -0.21 eV/atom

Unit cell a=8.7252 b=8.7252 c=4.2569 alpha=90.00 beta=90.00 gamma=90.00
With the nearest neighbours (Å) after each atom.
Space group P4/mbm (No. 127)
Symmetry-distinct sites (fractional):
Sr 0.0000 0.0000 0.0000 x2  4 Sn 3.46, 8 Bi 3.86
Sn 0.1231 0.3769 0.0000 x4  1 Sn 3.04, 6 Bi 3.27-3.40
Bi 0.1762 0.6762 0.5000 x4  6 Sn 3.27-3.40

Compound: LaIN2
Source: Alexandria via LeMat-Bulk
Functional: GGA-PBE
Structure: optimized geometry

E above lowest polymorph   717 meV/atom
Formation energy (no corrections)   0.767 eV/atom

Unit cell a=6.4585 b=6.4585 c=6.4585 alpha=90.00 beta=90.00 gamma=90.00
With the nearest neighbours (Å) after each atom.
Space group Fm-3m (No. 225)
Symmetry-distinct sites (fractional):
La 0.0000 0.0000 0.0000 x4  8 N 2.80
I 0.0000 0.0000 0.5000 x4  8 N 2.80
N 0.2500 0.2500 0.2500 x8  4 La 2.80, 4 I 2.80

Compound: Ac4Ge2H
Source: Alexandria via LeMat-Bulk
Functional: GGA-PBE
Structure: optimized geometry

E above lowest polymorph   69 meV/atom

Unit cell a=15.9196 b=4.4271 c=7.6520 alpha=90.00 beta=118.24 gamma=90.00
With the nearest neighbours (Å) after each atom.
Space group C2/m (No. 12)
Symmetry-distinct sites (fractional):
Ac 0.1203 0.0000 0.3049 x4  1 H 2.93, 3 Ge 3.13-3.14
Ac 0.1229 0.5000 0.7753 x4  2 H 3.04, 3 Ge 3.12-3.13
Ge 0.2405 0.5000 0.2366 x4  6 Ac 3.12-3.14
H 0.0000 0.0000 0.5000 x2  6 Ac 2.93-3.04

Compound: V4Rh4N
Source: Alexandria via LeMat-Bulk
Functional: GGA-PBE
Structure: optimized geometry

Formation energy (no corrections)   -0.104 eV/atom

Unit cell a=7.5556 b=7.5556 c=4.5575 alpha=90.00 beta=90.00 gamma=90.00
With the nearest neighbours (Å) after each atom.
Space group I4/m (No. 87)
Symmetry-distinct sites (fractional):
V 0.0112 0.2568 0.0000 x8  1 N 1.94
Rh 0.1357 0.2179 0.5000 x8  3 V 2.36-2.48
N 0.0000 0.0000 0.0000 x2  4 V 1.94

no.,mass density (Mg/m³)
1,6.619
2,1.497
3,10.373
4,4.966
5,11.693
6,4.290
7,6.634
8,9.336
9,11.751
10,7.400
11,5.612
12,17.478
13,4.530
14,5.639
15,7.845
16,6.122
17,9.127
18,5.853
19,8.920
20,3.803
21,7.614
22,7.244
23,7.370
24,8.034